Entry 1:
! LaZnCd2 (PBE-GGA, optimized geometry); values from VASP
! VASP energy = -2.033 eV/atom
! crystal system = tetragonal
! density = 6.54 g/cm3
&SYSTEM
  ibrav = 0, nat = 8, ntyp = 3
/
ATOMIC_SPECIES
La 138.91 La.upf
Zn 65.41 Zn.upf
Cd 112.41 Cd.upf
CELL_PARAMETERS angstrom
-2.2562 2.2562 10.7025
2.2562 -2.2562 10.7025
2.2562 2.2562 -10.7025
ATOMIC_POSITIONS angstrom
La 0.0000 0.0000 0.0000
La 0.0000 2.2562 5.3512
Zn 2.2562 0.0000 5.3512
Zn 0.0000 0.0000 10.7025
Cd 1.1281 -0.9003 8.0269
Cd 1.3559 1.1281 2.6756
Cd 1.1281 3.1565 -2.6756
Cd 0.9003 1.1281 13.3781

***

Entry 2:
! LaZn2Cd (PBE-GGA, optimized geometry); values from VASP
! VASP energy = -2.250 eV/atom
! crystal system = tetragonal
! density = 7.06 g/cm3
&SYSTEM
  ibrav = 0, nat = 4, ntyp = 3
/
ATOMIC_SPECIES
La 138.91 La.upf
Zn 65.41 Zn.upf
Cd 112.41 Cd.upf
CELL_PARAMETERS angstrom
3.5150 0.0000 0.0000
0.0000 3.5150 0.0000
0.0000 0.0000 7.2723
ATOMIC_POSITIONS angstrom
La 0.0000 0.0000 0.0000
Zn 1.7575 1.7575 2.0765
Zn 1.7575 1.7575 5.1958
Cd 0.0000 0.0000 3.6362

***

Entry 3:
! La3Zn8Cd (PBE-GGA, optimized geometry); values from VASP
! VASP energy = -2.420 eV/atom
! crystal system = trigonal
! density = 7.01 g/cm3
&SYSTEM
  ibrav = 0, nat = 12, ntyp = 3
/
ATOMIC_SPECIES
La 138.91 La.upf
Zn 65.41 Zn.upf
Cd 112.41 Cd.upf
CELL_PARAMETERS angstrom
2.8103 1.6225 9.1056
-2.8103 1.6225 9.1056
0.0000 -3.2451 9.1056
ATOMIC_POSITIONS angstrom
La 0.0000 0.0000 0.0000
La 0.0000 0.0000 3.4475
La 0.0000 0.0000 16.9092
Zn -1.4150 -0.8169 10.7786
Zn 0.0000 -1.6056 6.2187
Zn -1.3905 0.8028 6.2187
Zn 0.0000 0.0000 8.5247
Zn 1.3905 0.8028 6.2187
Zn 1.4150 -0.8169 10.7786
Zn 0.0000 1.6339 10.7786
Zn 0.0000 0.0000 22.1453
Cd 0.0000 0.0000 13.5017

***

Entry 4:
! La3ZnCd (PBE-GGA, optimized geometry); values from VASP
! crystal system = orthorhombic
! density = 6.52 g/cm3
! excess energy over the best structure of this formula in the dataset = 0.000 kcal/mol of atoms
&SYSTEM
  ibrav = 0, nat = 10, ntyp = 3
/
ATOMIC_SPECIES
La 138.91 La.upf
Zn 65.41 Zn.upf
Cd 112.41 Cd.upf
CELL_PARAMETERS angstrom
2.7510 -10.0171 0.0000
2.7510 10.0171 0.0000
0.0000 0.0000 5.4966
ATOMIC_POSITIONS angstrom
La 2.7510 8.7397 4.1225
La 2.7510 5.0096 4.1225
La 2.7510 1.2763 4.1225
La 2.7510 -1.2763 1.3742
La 2.7510 -5.0096 1.3742
La 2.7510 -8.7397 1.3742
Zn 2.7510 6.9635 1.3742
Zn 2.7510 -6.9635 4.1225
Cd 2.7510 3.0880 1.3742
Cd 2.7510 -3.0880 4.1225

***

Entry 5:
! La6Zn3Cd (PBE-GGA, optimized geometry); values from VASP
! VASP energy = -3.654 eV/atom
! crystal system = monoclinic
! density = 6.57 g/cm3
&SYSTEM
  ibrav = 0, nat = 20, ntyp = 3
/
ATOMIC_SPECIES
La 138.91 La.upf
Zn 65.41 Zn.upf
Cd 112.41 Cd.upf
CELL_PARAMETERS angstrom
9.5616 0.0000 0.0000
0.0000 5.3470 0.0000
-3.4814 0.0000 11.2924
ATOMIC_POSITIONS angstrom
La -1.1147 1.3368 4.6242
La 0.7509 4.0103 2.0630
La -1.3236 1.3368 11.2068
La 0.3275 4.0103 8.9802
La 2.4156 1.3368 3.9799
La 1.7020 1.3368 7.0110
La 4.3782 4.0103 4.2814
La 3.6646 4.0103 7.3125
La 5.7527 1.3368 2.3122
La 7.4038 4.0103 0.0856
La 5.3293 1.3368 9.2293
La 7.1948 4.0103 6.6682
Zn -2.7015 4.0103 9.9334
Zn -1.3244 1.3368 8.0379
Zn 0.9033 4.0103 5.3726
Zn 5.1769 1.3368 5.9198
Zn 7.4046 4.0103 3.2545
Zn 8.7816 1.3368 1.3590
Cd 4.0419 4.0103 1.0100
Cd 2.0383 1.3368 10.2824

***

Entry 6:
! La2Zn6Cd (PBE-GGA, optimized geometry); values from VASP
! VASP energy = -2.344 eV/atom
! crystal system = trigonal
! density = 6.94 g/cm3
&SYSTEM
  ibrav = 0, nat = 9, ntyp = 3
/
ATOMIC_SPECIES
La 138.91 La.upf
Zn 65.41 Zn.upf
Cd 112.41 Cd.upf
CELL_PARAMETERS angstrom
6.0072 0.0000 0.0000
-3.0036 5.2024 0.0000
0.0000 0.0000 5.9908
ATOMIC_POSITIONS angstrom
La 0.0000 3.4683 2.0344
La 3.0036 1.7341 3.9564
Zn 0.0000 1.8778 5.0793
Zn -1.3774 4.2635 5.0793
Zn 1.6262 0.9389 0.9115
Zn 1.3774 4.2635 5.0793
Zn 4.3810 0.9389 0.9115
Zn 3.0036 3.3246 0.9115
Cd 0.0000 0.0000 2.9954

***

What did the second record say?
! LaZn2Cd (PBE-GGA, optimized geometry); values from VASP
! VASP energy = -2.250 eV/atom
! crystal system = tetragonal
! density = 7.06 g/cm3
&SYSTEM
  ibrav = 0, nat = 4, ntyp = 3
/
ATOMIC_SPECIES
La 138.91 La.upf
Zn 65.41 Zn.upf
Cd 112.41 Cd.upf
CELL_PARAMETERS angstrom
3.5150 0.0000 0.0000
0.0000 3.5150 0.0000
0.0000 0.0000 7.2723
ATOMIC_POSITIONS angstrom
La 0.0000 0.0000 0.0000
Zn 1.7575 1.7575 2.0765
Zn 1.7575 1.7575 5.1958
Cd 0.0000 0.0000 3.6362

***

What is the density in the sixth record? 6.94 g/cm3

***

Which of these has the lowest density? La3ZnCd